A relaxed Ba2Hg2H4Rh crystal, computed with GGA-PBE.

```
Ba2Hg2H4Rh
1.0
-3.270 3.270 4.079
3.270 -3.270 4.079
3.270 3.270 -4.079
Ba Hg H Rh
2 2 4 1
Direct
0.250 0.750 0.500
0.750 0.250 0.500
0.167 0.167 0.000
0.833 0.833 0.000
0.314 0.314 0.627
0.314 0.686 0.000
0.686 0.314 0.000
0.686 0.686 0.373
0.500 0.500 0.000
```

## Properties
Crystal system: tetragonal
Space-group type: I4/mmm



A relaxed Ba6Hg2HRh crystal, computed with GGA-PBE.

```
Ba6Hg2HRh
1.0
7.936 0.000 0.000
0.000 8.650 0.000
-7.809 0.000 11.569
Ba Hg H Rh
12 4 2 2
Direct
0.129 0.191 0.447
0.129 0.309 0.947
0.264 0.684 0.446
0.264 0.816 0.946
0.362 0.020 0.252
0.362 0.480 0.752
0.638 0.520 0.248
0.638 0.980 0.748
0.736 0.184 0.054
0.736 0.316 0.554
0.871 0.691 0.053
0.871 0.809 0.553
0.209 0.101 0.749
0.209 0.399 0.249
0.791 0.601 0.751
0.791 0.899 0.251
0.500 0.000 0.500
0.500 0.500 0.000
0.000 0.000 0.000
0.000 0.500 0.500
```

## Properties
Crystal system: monoclinic
Space-group type: P2_1/c



A relaxed Ba2HgH12Rh3 crystal, computed with GGA-PBE.

```
Ba2HgH12Rh3
1.0
3.273 1.890 5.226
-3.273 1.890 5.226
0.000 -3.780 5.226
Ba Hg H Rh
2 1 12 3
Direct
0.118 0.118 0.118
0.882 0.882 0.882
0.500 0.500 0.500
0.118 0.602 0.602
0.182 0.182 0.595
0.182 0.595 0.182
0.398 0.398 0.882
0.398 0.882 0.398
0.405 0.818 0.818
0.595 0.182 0.182
0.602 0.118 0.602
0.602 0.602 0.118
0.818 0.405 0.818
0.818 0.818 0.405
0.882 0.398 0.398
0.000 0.500 0.500
0.500 0.000 0.500
0.500 0.500 0.000
```

## Properties
Crystal system: trigonal
Space-group type: R-3m



A relaxed Ba2HgH6Rh crystal, computed with GGA-PBE.

```
Ba2HgH6Rh
1.0
5.166 0.000 0.000
-2.583 4.473 0.000
0.000 0.000 7.967
Ba Hg H Rh
2 1 6 1
Direct
0.333 0.667 0.209
0.667 0.333 0.791
0.000 0.000 0.500
0.156 0.312 0.884
0.156 0.844 0.884
0.312 0.156 0.116
0.688 0.844 0.884
0.844 0.156 0.116
0.844 0.688 0.116
0.000 0.000 0.000
```

## Properties
Crystal system: trigonal
Space-group type: P-3m1



A relaxed Ba2Hg2H4Ru crystal, computed with GGA-PBE.

```
Ba2Hg2H4Ru
1.0
-3.261 3.261 4.063
3.261 -3.261 4.063
3.261 3.261 -4.063
Ba Hg H Ru
2 2 4 1
Direct
0.250 0.750 0.500
0.750 0.250 0.500
0.171 0.171 0.000
0.829 0.829 0.000
0.310 0.310 0.621
0.310 0.690 0.000
0.690 0.310 0.000
0.690 0.690 0.379
0.500 0.500 0.000
```

## Properties
Crystal system: tetragonal
Space-group type: I4/mmm



A relaxed Ba2HgSb2H2 crystal, computed with GGA-PBE.

```
Ba2HgSb2H2
1.0
3.562 -3.591 0.000
3.562 3.591 0.000
-1.041 0.000 10.007
Ba Hg Sb H
2 1 2 2
Direct
0.218 0.218 0.173
0.782 0.782 0.827
0.500 0.500 0.500
0.282 0.282 0.830
0.718 0.718 0.170
0.120 0.120 0.687
0.880 0.880 0.313
```

## Properties
Crystal system: monoclinic
Space-group type: C2/m



A relaxed Ba2HgSbH crystal, computed with GGA-PBE.

```
Ba2HgSbH
1.0
5.586 0.000 0.000
0.000 5.586 0.000
0.000 0.000 4.829
Ba Hg Sb H
2 1 1 1
Direct
0.000 0.500 0.000
0.500 0.000 0.000
0.000 0.000 0.500
0.500 0.500 0.500
0.000 0.000 0.000
```

## Properties
Crystal system: tetragonal
Space-group type: P4/mmm



A relaxed BaHgSbH crystal, computed with GGA-PBE.

```
BaHgSbH
1.0
4.796 0.000 0.000
-2.398 4.153 0.000
0.000 0.000 5.322
Ba Hg Sb H
1 1 1 1
Direct
0.000 0.000 0.000
0.333 0.667 0.425
0.667 0.333 0.566
0.333 0.667 0.061
```

## Properties
Crystal system: trigonal
Space-group type: P3m1



A relaxed BaScHgH2 crystal, computed with GGA-PBE.

```
BaScHgH2
1.0
4.616 0.000 0.000
0.000 4.616 0.000
0.000 0.000 7.487
Ba Sc Hg H
1 1 1 2
Direct
0.000 0.000 0.000
0.000 0.000 0.500
0.500 0.500 0.500
0.000 0.500 0.000
0.500 0.000 0.000
```

## Properties
Crystal system: tetragonal
Space-group type: P4/mmm



A relaxed BaSr2HgH crystal, computed with GGA-PBE.

```
BaSr2HgH
1.0
6.899 0.000 0.000
0.000 6.899 0.000
0.000 0.000 4.195
Ba Sr Hg H
1 2 1 1
Direct
0.000 0.000 0.000
0.000 0.500 0.500
0.500 0.000 0.500
0.500 0.500 0.500
0.500 0.500 0.000
```

## Properties
Crystal system: tetragonal
Energy relative to the lowest polymorph listed for this composition (meV/atom): 480
Space-group type: P4/mmm



A relaxed BaSr2HgH crystal, computed with GGA-PBE.

```
BaSr2HgH
1.0
5.360 0.000 0.000
0.000 5.360 0.000
0.000 0.000 5.669
Ba Sr Hg H
1 2 1 1
Direct
0.000 0.000 0.000
0.000 0.500 0.500
0.500 0.000 0.500
0.500 0.500 0.000
0.000 0.000 0.500
```

## Properties
Crystal system: tetragonal
Energy relative to the lowest polymorph listed for this composition (meV/atom): 0
Space-group type: P4/mmm



A relaxed BaTi2HgH crystal, computed with GGA-PBE.

```
BaTi2HgH
1.0
5.173 0.000 0.000
0.000 5.173 0.000
0.000 0.000 6.297
Ba Ti Hg H
1 2 1 1
Direct
0.000 0.000 0.000
0.000 0.500 0.000
0.500 0.000 0.000
0.000 0.000 0.500
0.500 0.500 0.500
```

## Properties
Crystal system: tetragonal
Space-group type: P4/mmm



A relaxed Ba2TlHgH crystal, computed with GGA-PBE.

```
Ba2TlHgH
1.0
5.733 0.000 0.000
0.000 5.733 0.000
0.000 0.000 4.683
Ba Tl Hg H
2 1 1 1
Direct
0.000 0.500 0.000
0.500 0.000 0.000
0.000 0.000 0.500
0.500 0.500 0.500
0.000 0.000 0.000
```

## Properties
Crystal system: tetragonal
Energy relative to the lowest polymorph listed for this composition (meV/atom): 0
Space-group type: P4/mmm



A relaxed BaTlHgH2 crystal, computed with GGA-PBE.

```
BaTlHgH2
1.0
4.886 0.000 0.000
0.000 4.886 0.000
0.000 0.000 7.008
Ba Tl Hg H
1 1 1 2
Direct
0.000 0.000 0.000
0.500 0.500 0.500
0.000 0.000 0.500
0.000 0.500 0.000
0.500 0.000 0.000
```

## Properties
Crystal system: tetragonal
Space-group type: P4/mmm



A relaxed Ba2TlHgH crystal, computed with GGA-PBE.

```
Ba2TlHgH
1.0
5.567 0.000 0.000
0.000 5.567 0.000
0.000 0.000 4.889
Ba Tl Hg H
2 1 1 1
Direct
0.000 0.500 0.000
0.500 0.000 0.000
0.000 0.000 0.500
0.500 0.500 0.500
0.500 0.500 0.000
```

## Properties
Crystal system: tetragonal
Energy relative to the lowest polymorph listed for this composition (meV/atom): 3
Space-group type: P4/mmm



A relaxed BaTl2HgH crystal, computed with GGA-PBE.

```
BaTl2HgH
1.0
5.149 0.000 0.000
0.000 5.149 0.000
0.000 0.000 5.144
Ba Tl Hg H
1 2 1 1
Direct
0.000 0.000 0.000
0.000 0.500 0.500
0.500 0.000 0.500
0.500 0.500 0.000
0.000 0.000 0.500
```

## Properties
Crystal system: tetragonal
Space-group type: P4/mmm



A relaxed Ba2Zn2HgH6 crystal, computed with GGA-PBE.

```
Ba2Zn2HgH6
1.0
5.405 -2.566 0.000
5.405 2.566 0.000
-4.553 0.000 6.774
Ba Zn Hg H
2 2 1 6
Direct
0.214 0.214 0.231
0.786 0.786 0.769
0.489 0.489 0.143
0.511 0.511 0.857
0.000 0.000 0.500
0.144 0.664 0.152
0.333 0.333 0.646
0.336 0.856 0.848
0.664 0.144 0.152
0.667 0.667 0.354
0.856 0.336 0.848
```

## Properties
Crystal system: monoclinic
Space-group type: C2/m



A relaxed BaHo2H crystal, computed with GGA-PBE.

```
BaHo2H
1.0
1.805 1.042 9.858
-1.805 1.042 9.858
0.000 -2.085 9.858
Ba Ho H
1 2 1
Direct
0.000 0.000 0.000
0.123 0.123 0.123
0.877 0.877 0.877
0.500 0.500 0.500
```

## Properties
Crystal system: trigonal
Space-group type: R-3m



A relaxed Ba2HoMg3H12 crystal, computed with GGA-PBE.

```
Ba2HoMg3H12
1.0
3.467 2.002 5.444
-3.467 2.002 5.444
0.000 -4.003 5.444
Ba Ho Mg H
2 1 3 12
Direct
0.114 0.114 0.114
0.886 0.886 0.886
0.500 0.500 0.500
0.000 0.500 0.500
0.500 0.000 0.500
0.500 0.500 0.000
0.098 0.630 0.630
0.235 0.235 0.629
0.235 0.629 0.235
0.370 0.370 0.902
0.370 0.902 0.370
0.371 0.765 0.765
0.629 0.235 0.235
0.630 0.098 0.630
0.630 0.630 0.098
0.765 0.371 0.765
0.765 0.765 0.371
0.902 0.370 0.370
```

## Properties
Crystal system: trigonal
Space-group type: R-3m



A relaxed BaH2I crystal, computed with GGA-PBE.

```
BaH2I
1.0
4.816 0.000 0.000
0.000 2.408 8.882
0.000 -2.408 8.882
Ba H I
2 4 2
Direct
0.000 0.000 0.000
0.500 0.346 0.346
0.000 0.414 0.414
0.421 0.744 0.744
0.500 0.910 0.910
0.579 0.744 0.744
0.000 0.205 0.205
0.500 0.555 0.555
```

## Properties
Crystal system: orthorhombic
Energy relative to the lowest polymorph listed for this composition (meV/atom): 58
Space-group type: Amm2



| no. | electronic total energy (eV/atom) | total moment (Bohr magnetons per cell) |
| --- | --- | --- |
| 1 | -3.13 | 0.00 |
| 2 | -2.63 | 0.00 |
| 3 | -3.92 | 0.00 |
| 4 | -3.63 | 0.01 |
| 5 | -3.29 | 0.00 |
| 6 | -3.13 | 0.00 |
| 7 | -2.96 | 0.00 |
| 8 | -2.95 | 0.00 |
| 9 | -2.58 | 1.39 |
| 10 | -1.56 | 0.00 |
| 11 | -2.04 | 0.00 |
| 12 | -2.13 | 0.97 |
| 13 | -2.33 | 0.00 |
| 14 | -2.17 | 0.00 |
| 15 | -2.33 | 0.00 |
| 16 | -2.21 | 0.00 |
| 17 | -2.68 | 0.00 |
| 18 | -3.58 | 0.00 |
| 19 | -3.27 | 0.03 |
| 20 | -3.40 | 0.00 |